[1]
# Sc2CrNi, optimized geometry, DFT PBE-GGA
# Crystal system ... orthorhombic
# M_tot ... 4.93 μB/cell
# Formation energy ... -0.03 eV per atom
# Uncorrected energy ... -7.052 eV per atom
data_Sc2CrNi
_cell_length_a 3.2133
_cell_length_b 4.4643
_cell_length_c 9.6032
_cell_angle_alpha 90.00
_cell_angle_beta 90.00
_cell_angle_gamma 90.00
_space_group_name_H-M_alt 'I m m 2'
_space_group_IT_number 44
loop_
_space_group_symop_operation_xyz
'x,y,z'
'-x,-y,z'
'-x,y,z'
'x,-y,z'
'x+1/2,y+1/2,z+1/2'
'-x+1/2,-y+1/2,z+1/2'
'-x+1/2,y+1/2,z+1/2'
'x+1/2,-y+1/2,z+1/2'
loop_
_atom_site_label
_atom_site_type_symbol
_atom_site_fract_x
_atom_site_fract_y
_atom_site_fract_z
_atom_site_occupancy
Sc1 Sc 0.0000 0.0000 0.0000 1
Sc2 Sc 0.0000 0.5000 0.2164 1
Cr1 Cr 0.0000 0.5000 0.7802 1
Ni1 Ni 0.0000 0.0000 0.4807 1

[2]
# ScCrNi2, optimized geometry, DFT PBE-GGA
# Crystal system ... cubic
# M_tot ... 12.11 μB/cell
# Formation energy ... 0.04 eV per atom
# Uncorrected energy ... -6.839 eV per atom
data_ScCrNi2
_cell_length_a 6.0306
_cell_length_b 6.0306
_cell_length_c 6.0306
_cell_angle_alpha 90.00
_cell_angle_beta 90.00
_cell_angle_gamma 90.00
_space_group_name_H-M_alt 'F -4 3 m'
_space_group_IT_number 216
_space_group_name_Hall 'F -4 2 3'
loop_
_atom_site_label
_atom_site_type_symbol
_atom_site_fract_x
_atom_site_fract_y
_atom_site_fract_z
_atom_site_occupancy
Sc1 Sc 0.0000 0.0000 0.0000 1
Cr1 Cr 0.2500 0.2500 0.7500 1
Ni1 Ni 0.0000 0.0000 0.5000 1
Ni2 Ni 0.2500 0.2500 0.2500 1

[3]
# Sc2CrNi, optimized geometry, DFT PBE-GGA
# Crystal system ... tetragonal
# M_tot ... 11.83 μB/cell
# Formation energy ... 0.23 eV per atom
# Uncorrected energy ... -6.782 eV per atom
data_Sc2CrNi
_cell_length_a 7.1988
_cell_length_b 7.1988
_cell_length_c 5.6923
_cell_angle_alpha 90.00
_cell_angle_beta 90.00
_cell_angle_gamma 90.00
_space_group_name_H-M_alt 'I -4 2 d'
_space_group_IT_number 122
_space_group_name_Hall 'I -4 2bw'
loop_
_atom_site_label
_atom_site_type_symbol
_atom_site_fract_x
_atom_site_fract_y
_atom_site_fract_z
_atom_site_occupancy
Sc1 Sc 0.2108 0.2500 0.1250 1
Cr1 Cr 0.0000 0.0000 0.5000 1
Ni1 Ni 0.0000 0.0000 0.0000 1

[4]
# ScCrNi2, optimized geometry, DFT PBE-GGA
# Crystal system ... trigonal
# M_tot ... 6.32 μB/cell
# Formation energy ... 0.26 eV per atom
# Uncorrected energy ... -6.618 eV per atom
data_ScCrNi2
_cell_length_a 2.8209
_cell_length_b 2.8209
_cell_length_c 24.3278
_cell_angle_alpha 90.00
_cell_angle_beta 90.00
_cell_angle_gamma 120.00
_space_group_name_H-M_alt 'R -3 m'
_space_group_IT_number 166
_space_group_name_Hall '-R 3 2"'
loop_
_atom_site_label
_atom_site_type_symbol
_atom_site_fract_x
_atom_site_fract_y
_atom_site_fract_z
_atom_site_occupancy
Sc1 Sc 0.0000 0.0000 0.0000 1
Cr1 Cr 0.0000 0.0000 0.5000 1
Ni1 Ni 0.0000 0.0000 0.2439 1

[5]
# ScCrNi2, optimized geometry, DFT PBE-GGA
# Crystal system ... tetragonal
# M_tot ... 8.11 μB/cell
# Formation energy ... -0.05 eV per atom
# Uncorrected energy ... -6.931 eV per atom
data_ScCrNi2
_cell_length_a 3.6998
_cell_length_b 3.6998
_cell_length_c 8.2602
_cell_angle_alpha 90.00
_cell_angle_beta 90.00
_cell_angle_gamma 90.00
_space_group_name_H-M_alt 'I -4 m 2'
_space_group_IT_number 119
_space_group_name_Hall 'I -4 -2'
loop_
_atom_site_label
_atom_site_type_symbol
_atom_site_fract_x
_atom_site_fract_y
_atom_site_fract_z
_atom_site_occupancy
Sc1 Sc 0.0000 0.0000 0.0000 1
Cr1 Cr 0.0000 0.5000 0.7500 1
Ni1 Ni 0.0000 0.0000 0.5000 1
Ni2 Ni 0.0000 0.5000 0.2500 1

[6]
# ScCrNi2, optimized geometry, DFT PBE-GGA
# Crystal system ... tetragonal
# M_tot ... 13.02 μB/cell
# Formation energy ... 0.40 eV per atom
# Uncorrected energy ... -6.476 eV per atom
data_ScCrNi2
_cell_length_a 3.8236
_cell_length_b 3.8236
_cell_length_c 16.8939
_cell_angle_alpha 90.00
_cell_angle_beta 90.00
_cell_angle_gamma 90.00
_space_group_name_H-M_alt 'I -4 2 d'
_space_group_IT_number 122
_space_group_name_Hall 'I -4 2bw'
loop_
_atom_site_label
_atom_site_type_symbol
_atom_site_fract_x
_atom_site_fract_y
_atom_site_fract_z
_atom_site_occupancy
Sc1 Sc 0.0000 0.0000 0.0000 1
Cr1 Cr 0.0000 0.0000 0.5000 1
Ni1 Ni 0.2089 0.2500 0.6250 1

[7]
# Sc4CrNi, optimized geometry, DFT PBE-GGA
# Crystal system ... cubic
# M_tot ... 11.75 μB/cell
# Formation energy ... 0.65 eV per atom
# Uncorrected energy ... -6.139 eV per atom
data_Sc4CrNi
_cell_length_a 7.9275
_cell_length_b 7.9275
_cell_length_c 7.9275
_cell_angle_alpha 90.00
_cell_angle_beta 90.00
_cell_angle_gamma 90.00
_space_group_name_H-M_alt 'F -4 3 m'
_space_group_IT_number 216
_space_group_name_Hall 'F -4 2 3'
loop_
_atom_site_label
_atom_site_type_symbol
_atom_site_fract_x
_atom_site_fract_y
_atom_site_fract_z
_atom_site_occupancy
Sc1 Sc 0.1250 0.1250 0.1250 1
Cr1 Cr 0.2500 0.2500 0.7500 1
Ni1 Ni 0.0000 0.0000 0.5000 1

[8]
# ScCr3Ni, optimized geometry, DFT PBE-GGA
# Crystal system ... cubic
# M_tot ... 10.86 μB/cell
# Formation energy ... 0.91 eV per atom
# Uncorrected energy ... -7.284 eV per atom
data_ScCr3Ni
_cell_length_a 4.5111
_cell_length_b 4.5111
_cell_length_c 4.5111
_cell_angle_alpha 90.00
_cell_angle_beta 90.00
_cell_angle_gamma 90.00
_space_group_name_H-M_alt 'P m -3 m'
_space_group_IT_number 221
_space_group_name_Hall '-P 4 2 3'
loop_
_atom_site_label
_atom_site_type_symbol
_atom_site_fract_x
_atom_site_fract_y
_atom_site_fract_z
_atom_site_occupancy
Sc1 Sc 0.0000 0.0000 0.0000 1
Cr1 Cr 0.0000 0.5000 0.5000 1
Ni1 Ni 0.5000 0.5000 0.5000 1